1.
A plane-wave DFT calculation with PBE was carried out for a relaxed structure of Hf5ZnCo4.

extended XYZ file:
```
10
Lattice="3.1843 0.0000 0.0000 0.0000 3.1843 0.0000 0.0000 0.0000 15.9663" Properties=species:S:1:pos:R:3 pbc="T T T"
Hf 0.0000 0.0000 0.0000
Hf 0.0000 0.0000 3.1320
Hf 0.0000 0.0000 6.2312
Hf 0.0000 0.0000 9.7351
Hf 0.0000 0.0000 12.8343
Zn 1.5922 1.5922 7.9832
Co 1.5922 1.5922 1.5747
Co 1.5922 1.5922 4.6988
Co 1.5922 1.5922 11.2675
Co 1.5922 1.5922 14.3916
```

Properties
Final energy, eV/cell: -82.943
Space group: P4/mmm (123)
ΔE_f, eV/atom: -0.348

***

2.
A plane-wave DFT calculation with PBE was carried out for a relaxed structure of Ce2Np3N4.

extended XYZ file:
```
9
Lattice="5.7624 -1.7221 0.0000 5.7624 1.7221 0.0000 -4.2525 0.0000 7.4251" Properties=species:S:1:pos:R:3 pbc="T T T"
Ce -0.5110 0.0000 2.9398
Ce 7.7834 0.0000 4.4853
Np 2.6425 0.0000 1.4761
Np 5.7624 0.0000 0.0000
Np 4.6299 0.0000 5.9490
N -2.6405 0.0000 6.8141
N 0.4077 0.0000 5.3040
N 6.8647 0.0000 2.1211
N 9.9129 0.0000 0.6110
```

Properties
Final energy, eV/cell: -93.085
Space group: C2/m (12)
Raw formation energy, eV per atom: -1.010